1.
VASP calculation (PBE) on crystalline NaY2Pb3Se6 at its relaxed geometry.

Cell: 9.593 9.593 9.150 Å, 104.37 104.37 24.75°
Sites, in units of the cell vectors:
Na 0.000 0.000 0.000
Y 0.335 0.335 0.668
Y 0.665 0.665 0.332
Pb 0.000 0.000 0.500
Pb 0.340 0.340 0.162
Pb 0.660 0.660 0.838
Se 0.172 0.172 0.117
Se 0.172 0.172 0.559
Se 0.491 0.491 0.746
Se 0.509 0.509 0.254
Se 0.828 0.828 0.441
Se 0.828 0.828 0.883

Magnetization: 0.000 μB per atom
Formation energy (no corrections): -1.092 eV/atom
Final energy: -0.18187 Ha/atom

2.
VASP calculation (PBE) on crystalline Tm8PtAu2 at its relaxed geometry.

Cell: 9.060 9.060 6.709 Å, 104.39 104.39 32.27°
Sites, in units of the cell vectors:
Tm 0.030 0.030 0.283
Tm 0.206 0.206 0.822
Tm 0.338 0.338 0.530
Tm 0.411 0.411 0.061
Tm 0.589 0.589 0.939
Tm 0.662 0.662 0.470
Tm 0.794 0.794 0.178
Tm 0.970 0.970 0.717
Pt 0.500 0.500 0.500
Au 0.188 0.188 0.229
Au 0.812 0.812 0.771

Magnetization: 0.000 μB per atom
Final energy: -0.18305 Ha/atom
Energy relative to the elements: -6.42 eV per formula unit

3.
VASP calculation (PBE) on crystalline LaNdSmSc at its relaxed geometry.

Cell: 5.693 5.693 5.693 Å, 60.00 60.00 60.00°
Sites, in units of the cell vectors:
La 0.000 0.000 0.000
Nd 0.500 0.500 0.500
Sm 0.250 0.250 0.250
Sc 0.750 0.750 0.750

Magnetization: 0.000 μB per atom
Final energy: -0.18643 Ha/atom
Energy relative to the elements: 0.45 eV per formula unit

4.
VASP calculation (PBE) on crystalline KLiTc at its relaxed geometry.

Cell: 2.857 2.857 8.624 Å, 90.00 90.00 120.00°
Sites, in units of the cell vectors:
K 0.000 0.000 0.000
Li 0.667 0.333 0.405
Tc 0.333 0.667 0.665

Magnetization: 0.000 μB per atom
Final energy: -0.13009 Ha/atom
Energy relative to the elements: 2.76 eV per formula unit